Entry from Alexandria: BaYNi2 after structural relaxation (GGA-PBE).

Calculated values
SG: P4/mmm, No. 123
Relative energy among the computed polymorphs: 14 meV/atom
Energy of formation: -87 meV/atom
Density of states at the Fermi level: 2.304 states/eV/f.u.

Lattice parameters (Å, degrees): 3.583 3.583 7.264 90.00 90.00 90.00
Fractional coordinates of all 4 atoms:
Ba1 0.500 0.500 0.750
Ni1 0.000 0.000 0.066
Ni2 0.000 0.000 0.434
Y1 0.500 0.500 0.250